{"formula": "ZnIr3", "functional": "meta-GGA SCAN", "state": "PBEsol geometry", "density_g_cm3": 19.16, "sg": "No. 166", "delta_e_f_ev_per_atom": -0.060, "total_energy_ev_per_cell": -227.05, "magnetic_moment_mub_per_fu": 0.0, "lattice_angstrom": [[2.721, 0.000, 0.000], [1.360, 2.356, 0.000], [1.360, 0.785, 8.680]], "species": ["Ir", "Ir", "Ir", "Zn"], "fractional_positions": [[0.000, 0.000, 0.000], [0.249, 0.249, 0.252], [0.751, 0.751, 0.748], [0.500, 0.500, 0.500]]}


{"formula": "ZnIr3", "functional": "meta-GGA SCAN", "state": "PBEsol geometry", "density_g_cm3": 19.17, "sg": "No. 25", "delta_e_f_ev_per_atom": -0.021, "total_energy_ev_per_cell": -226.90, "magnetic_moment_mub_per_fu": 0.0, "lattice_angstrom": [[2.720, 0.000, 0.000], [0.000, 4.374, 0.000], [0.000, 0.000, 4.676]], "species": ["Ir", "Zn", "Ir", "Ir"], "fractional_positions": [[0.000, 0.000, 0.999], [0.000, 0.500, 0.336], [0.500, 0.500, 0.835], [0.500, 0.000, 0.497]]}


{"formula": "Zn3Ir", "functional": "meta-GGA SCAN", "state": "PBEsol geometry", "density_g_cm3": 11.84, "sg": "No. 65", "delta_e_f_ev_per_atom": -0.181, "total_energy_ev_per_cell": -112.37, "magnetic_moment_mub_per_fu": 0.0, "lattice_angstrom": [[-1.774, -1.234, 1.943], [3.489, -1.803, 2.040], [-0.686, 3.947, 1.880]], "species": ["Zn", "Ir", "Zn", "Zn"], "fractional_positions": [[0.500, 0.000, 0.500], [0.000, 0.000, 0.000], [0.000, 0.500, 0.500], [0.500, 0.500, 0.000]]}


{"formula": "Zn5Ir", "functional": "meta-GGA SCAN", "state": "PBEsol geometry", "density_g_cm3": 10.42, "sg": "No. 8", "delta_e_f_ev_per_atom": -0.123, "total_energy_ev_per_cell": -139.41, "magnetic_moment_mub_per_fu": 0.0, "lattice_angstrom": [[2.839, 0.000, 0.000], [-1.419, 4.831, -0.032], [0.000, -1.687, 6.043]], "species": ["Zn", "Zn", "Zn", "Ir", "Zn", "Zn"], "fractional_positions": [[0.717, 0.434, 0.945], [0.338, 0.676, 0.676], [0.668, 0.336, 0.336], [0.000, 0.000, 0.000], [0.053, 0.106, 0.609], [0.391, 0.782, 0.267]]}


{"formula": "ZnIr", "functional": "meta-GGA SCAN", "state": "PBEsol geometry", "density_g_cm3": 15.60, "sg": "No. 59", "delta_e_f_ev_per_atom": -0.154, "total_energy_ev_per_cell": -169.85, "magnetic_moment_mub_per_fu": 0.0, "lattice_angstrom": [[-1.055, 2.202, -1.345], [-3.814, -2.151, -0.532], [-1.474, 1.657, 3.868]], "species": ["Ir", "Zn", "Zn", "Ir"], "fractional_positions": [[0.500, 0.568, 0.500], [0.000, 0.068, 0.500], [0.500, 0.932, 0.000], [0.000, 0.432, 0.000]]}


{"formula": "Zn5Ir", "functional": "meta-GGA SCAN", "state": "PBEsol geometry", "density_g_cm3": 10.40, "sg": "No. 6", "delta_e_f_ev_per_atom": -0.122, "total_energy_ev_per_cell": -139.40, "magnetic_moment_mub_per_fu": 0.0, "lattice_angstrom": [[2.852, 0.000, -0.002], [0.000, 4.210, 0.000], [-1.430, 0.000, 6.906]], "species": ["Zn", "Zn", "Zn", "Zn", "Ir", "Zn"], "fractional_positions": [[0.777, 0.500, 0.556], [0.660, 0.000, 0.318], [0.448, 0.500, 0.897], [0.336, 0.000, 0.672], [0.000, 0.000, 0.999], [0.113, 0.500, 0.225]]}


{"formula": "ZnIr3", "functional": "meta-GGA SCAN", "state": "PBEsol geometry", "density_g_cm3": 19.16, "sg": "No. 187", "delta_e_f_ev_per_atom": -0.028, "total_energy_ev_per_cell": -226.93, "magnetic_moment_mub_per_fu": 0.0, "lattice_angstrom": [[-0.149, 2.372, 1.331], [-1.895, -1.913, 0.410], [4.741, -3.316, 6.443]], "species": ["Ir", "Ir", "Zn", "Ir"], "fractional_positions": [[0.000, 0.000, 0.000], [0.333, 0.667, 0.253], [0.000, 0.000, 0.500], [0.333, 0.667, 0.747]]}


{"formula": "Zn8Ir", "functional": "meta-GGA SCAN", "state": "PBEsol geometry", "density_g_cm3": 9.65, "sg": "No. 139", "delta_e_f_ev_per_atom": -0.080, "total_energy_ev_per_cell": -179.94, "magnetic_moment_mub_per_fu": 0.0, "lattice_angstrom": [[-3.548, -0.755, 0.735], [-2.665, -1.605, -5.195], [-0.395, -5.887, 1.363]], "species": ["Zn", "Ir", "Zn", "Zn", "Zn", "Zn", "Zn", "Zn", "Zn"], "fractional_positions": [[0.668, 0.332, 0.332], [0.000, 0.000, 0.000], [0.332, 0.668, 0.668], [0.000, 0.668, 0.332], [0.335, 0.331, 0.000], [0.665, 0.000, 0.669], [0.335, 0.000, 0.331], [0.665, 0.669, 0.000], [0.000, 0.332, 0.668]]}


{"formula": "ZnIr3", "functional": "meta-GGA SCAN", "state": "PBEsol geometry", "density_g_cm3": 18.84, "sg": "No. 225", "delta_e_f_ev_per_atom": 0.278, "total_energy_ev_per_cell": -225.70, "magnetic_moment_mub_per_fu": 1.1, "lattice_angstrom": [[-3.396, -0.592, 2.586], [-3.499, -2.042, -1.471], [-0.952, -3.950, 1.436]], "species": ["Zn", "Ir", "Ir", "Ir"], "fractional_positions": [[0.000, 0.000, 0.000], [0.250, 0.250, 0.250], [0.500, 0.500, 0.500], [0.750, 0.750, 0.750]]}


{"formula": "ZnIr", "functional": "meta-GGA SCAN", "state": "PBEsol geometry", "density_g_cm3": 15.59, "sg": "No. 12", "delta_e_f_ev_per_atom": -0.227, "total_energy_ev_per_cell": -170.14, "magnetic_moment_mub_per_fu": 0.0, "lattice_angstrom": [[2.764, 0.000, 0.000], [0.000, 4.506, 0.008], [-1.382, -1.962, 4.404]], "species": ["Zn", "Ir", "Zn", "Ir"], "fractional_positions": [[0.385, 0.211, 0.770], [0.134, 0.295, 0.268], [0.615, 0.789, 0.230], [0.866, 0.705, 0.732]]}


{"formula": "Zn3Ir2", "functional": "meta-GGA SCAN", "state": "PBEsol geometry", "density_g_cm3": 13.93, "sg": "No. 166", "delta_e_f_ev_per_atom": -0.117, "total_energy_ev_per_cell": -183.33, "magnetic_moment_mub_per_fu": 0.0, "lattice_angstrom": [[-2.353, -0.507, -1.351], [-1.178, -2.490, 0.167], [-6.663, 2.157, 7.976]], "species": ["Ir", "Ir", "Zn", "Zn", "Zn"], "fractional_positions": [[0.399, 0.399, 0.802], [0.601, 0.601, 0.198], [0.000, 0.000, 0.000], [0.799, 0.799, 0.603], [0.201, 0.201, 0.397]]}


{"formula": "ZnIr2", "functional": "meta-GGA SCAN", "state": "PBEsol geometry", "density_g_cm3": 17.96, "sg": "No. 12", "delta_e_f_ev_per_atom": -0.038, "total_energy_ev_per_cell": -311.65, "magnetic_moment_mub_per_fu": 0.0, "lattice_angstrom": [[2.727, 0.000, 0.000], [-1.364, 4.950, 0.012], [0.000, -1.755, 6.156]], "species": ["Ir", "Zn", "Zn", "Ir", "Ir", "Ir"], "fractional_positions": [[0.638, 0.276, 0.021], [0.692, 0.385, 0.638], [0.308, 0.615, 0.362], [0.362, 0.724, 0.979], [0.033, 0.067, 0.309], [0.967, 0.933, 0.691]]}


{"formula": "ZnIr3", "functional": "meta-GGA SCAN", "state": "PBEsol geometry", "density_g_cm3": 19.22, "sg": "No. 59", "delta_e_f_ev_per_atom": -0.044, "total_energy_ev_per_cell": -1361.94, "magnetic_moment_mub_per_fu": 0.0, "lattice_angstrom": [[-1.374, 4.271, -1.190], [-5.014, -1.860, -0.890], [-3.159, 2.492, 12.595]], "species": ["Ir", "Ir", "Ir", "Zn", "Ir", "Ir", "Ir", "Ir", "Ir", "Ir", "Ir", "Ir", "Ir", "Ir", "Zn", "Zn", "Ir", "Ir", "Zn", "Ir", "Ir", "Zn", "Zn", "Ir"], "fractional_positions": [[0.164, 0.748, 0.333], [0.501, 0.753, 0.500], [0.499, 0.253, 0.000], [0.995, 0.500, 0.500], [0.836, 0.248, 0.833], [0.501, 0.247, 0.500], [0.997, 0.500, 0.000], [0.164, 0.252, 0.333], [0.836, 0.752, 0.833], [0.164, 0.748, 0.667], [0.836, 0.752, 0.167], [0.836, 0.248, 0.167], [0.336, 0.000, 0.168], [0.664, 0.500, 0.332], [0.005, 0.000, 0.000], [0.665, 0.000, 0.334], [0.164, 0.252, 0.667], [0.499, 0.747, 0.000], [0.335, 0.500, 0.834], [0.003, 0.000, 0.500], [0.336, 0.000, 0.832], [0.665, 0.000, 0.666], [0.335, 0.500, 0.166], [0.664, 0.500, 0.668]]}


{"formula": "ZnIr3", "functional": "meta-GGA SCAN", "state": "PBEsol geometry", "density_g_cm3": 19.19, "sg": "No. 47", "delta_e_f_ev_per_atom": -0.028, "total_energy_ev_per_cell": -226.92, "magnetic_moment_mub_per_fu": 0.0, "lattice_angstrom": [[2.726, 0.000, 0.000], [0.000, 3.776, 0.000], [0.000, 0.000, 5.399]], "species": ["Zn", "Ir", "Ir", "Ir"], "fractional_positions": [[0.500, 0.500, 0.000], [0.000, 0.000, 0.251], [0.500, 0.500, 0.500], [0.000, 0.000, 0.749]]}